DFT (PBE) results for Sr2HfAg after structural relaxation.

Values from the calculation:
**E_form**: 0.677 eV/atom
**N(E_F)**: 5.45 states/eV/f.u.
**Relative energy among the computed polymorphs**: 0.0838 eV per atom
**Calculated volume**: 265 Å³/cell
**Space-group type**: No. 122

Cell and atoms, written as extended XYZ:
```
8
Lattice="-0.797 8.627 -2.560 -7.438 0.815 5.062 -2.297 5.639 3.778" Properties=species:S:1:pos:R:3 pbc="T T T"
Sr -1.965 6.499 0.097
Sr -5.360 3.402 3.668
Sr -5.159 7.808 4.009
Sr -8.579 12.452 4.786
Hf 0.000 0.000 0.000
Hf -3.606 9.493 1.235
Ag -4.117 4.721 1.251
Ag -6.926 5.587 5.045
```